Below is a geometry-optimized Ba2LaTaO6 structure, with properties calculated at the PBE level.

a b c (Å): 6.151 6.201 10.624
angles (deg): 54.92 90.00 90.00
Positions (direct):
Ba: 0.490 0.741 0.252
Ba: 0.010 0.741 0.752
Ba: 0.990 0.259 0.248
Ba: 0.510 0.259 0.748
La: 0.000 0.000 0.000
La: 0.500 0.000 0.500
Ta: 0.500 0.500 0.000
Ta: 0.000 0.500 0.500
O: 0.006 0.795 0.273
O: 0.257 0.677 0.037
O: 0.719 0.702 0.037
O: 0.757 0.323 0.463
O: 0.219 0.298 0.463
O: 0.781 0.702 0.537
O: 0.994 0.205 0.727
O: 0.743 0.323 0.963
O: 0.243 0.677 0.537
O: 0.494 0.795 0.773
O: 0.281 0.298 0.963
O: 0.506 0.205 0.227

Results
- SG = P2_1/c
- ΔE_f (raw) (eV/atom) = -3.09

---

Below is a geometry-optimized Ba2LaTaO6 structure, with properties calculated at the PBE level.

a b c (Å): 6.129 6.137 6.190
angles (deg): 119.51 90.28 119.88
Positions (direct):
La: 0.000 0.500 0.500
Ba: 0.248 0.993 0.241
Ba: 0.752 0.007 0.759
O: 0.696 0.958 0.187
O: 0.274 0.432 0.704
O: 0.232 0.498 0.189
O: 0.726 0.568 0.296
O: 0.768 0.502 0.811
O: 0.304 0.042 0.813
Ta: 0.500 0.500 0.000

Results
- SG = P-1
- ΔE_f (raw) (eV/atom) = -3.09

---

Calculated uncorrected energy (eV per formula unit), listed in the same order as above: -81.3, -81.3